A plane-wave DFT calculation with meta-GGA SCAN was carried out for Na2HgS2 at its PBEsol-relaxed geometry.

a b c (Å): 7.2022 18.1052 7.4276
angles (deg): 90.00 90.00 90.00
Atoms (fractional coordinates):
Na 0.0010 0.0567 0.2264
Na 0.0010 0.4433 0.7264
Na 0.1720 0.1959 0.4606
Na 0.1720 0.3041 0.9606
Na 0.3280 0.6959 0.4606
Na 0.3280 0.8041 0.9606
Na 0.4990 0.5567 0.2264
Na 0.4990 0.9433 0.7264
Na 0.5010 0.0567 0.2736
Na 0.5010 0.4433 0.7736
Na 0.6720 0.1959 0.0394
Na 0.6720 0.3041 0.5394
Na 0.8280 0.6959 0.0394
Na 0.8280 0.8041 0.5394
Na 0.9990 0.5567 0.2736
Na 0.9990 0.9433 0.7736
Hg 0.2261 0.6081 0.8514
Hg 0.2261 0.8919 0.3514
Hg 0.2739 0.1081 0.8514
Hg 0.2739 0.3919 0.3514
Hg 0.7261 0.6081 0.6486
Hg 0.7261 0.8919 0.1486
Hg 0.7739 0.1081 0.6486
Hg 0.7739 0.3919 0.1486
S 0.2017 0.6775 0.1142
S 0.2017 0.8225 0.6142
S 0.2400 0.0476 0.5761
S 0.2400 0.4524 0.0761
S 0.2600 0.5476 0.5761
S 0.2600 0.9524 0.0761
S 0.2983 0.1775 0.1142
S 0.2983 0.3225 0.6142
S 0.7017 0.6775 0.3858
S 0.7017 0.8225 0.8858
S 0.7400 0.0476 0.9239
S 0.7400 0.4524 0.4239
S 0.7600 0.5476 0.9239
S 0.7600 0.9524 0.4239
S 0.7983 0.1775 0.3858
S 0.7983 0.3225 0.8858

- E_form (uncorrected) (meV per atom) = -909
- M_tot (μB per cell) = 0.00
- total energy (eV per atom) = -20.0789